[1]
# LaVIO2, optimized geometry, DFT PBE with a Hubbard U
data_LaVIO2
_chemical_formula_sum 'La1 V1 I1 O2'
_symmetry_space_group_name_H-M 'P 4/m m m'
_symmetry_Int_Tables_number 123
_symmetry_space_group_name_Hall '-P 4 2'
_cell_length_a 4.2464
_cell_length_b 4.2464
_cell_length_c 5.2514
_cell_angle_alpha 90.00
_cell_angle_beta 90.00
_cell_angle_gamma 90.00
loop_
_atom_site_label
_atom_site_fract_x
_atom_site_fract_y
_atom_site_fract_z
_atom_site_occupancy
La1 0.0000 0.0000 0.0000 1
V1 0.5000 0.5000 0.5000 1
I1 0.5000 0.5000 0.0000 1
O1 0.0000 0.5000 0.5000 1
# **Energy above the lowest structure with this stoichiometry**: 0.000 eV per atom
# **E**: -5.94 eV/atom
# **Density**: 6.1 g/cm³



[2]
# LaVIO2, optimized geometry, DFT PBE with a Hubbard U
data_LaVIO2
_chemical_formula_sum 'La1 V1 I1 O2'
_symmetry_space_group_name_H-M 'P 4/m m m'
_symmetry_Int_Tables_number 123
_symmetry_space_group_name_Hall '-P 4 2'
_cell_length_a 4.4329
_cell_length_b 4.4329
_cell_length_c 6.7707
_cell_angle_alpha 90.00
_cell_angle_beta 90.00
_cell_angle_gamma 90.00
loop_
_atom_site_label
_atom_site_fract_x
_atom_site_fract_y
_atom_site_fract_z
_atom_site_occupancy
La1 0.0000 0.0000 0.0000 1
V1 0.5000 0.5000 0.5000 1
I1 0.0000 0.0000 0.5000 1
O1 0.0000 0.5000 0.0000 1
# **Energy above the lowest structure with this stoichiometry**: 0.149 eV per atom
# **E**: -5.79 eV/atom
# **Density**: 4.4 g/cm³



[3]
# LaVI5O16, optimized geometry, DFT PBE with a Hubbard U
data_LaVI5O16
_chemical_formula_sum 'La4 V4 I20 O64'
_symmetry_space_group_name_H-M 'P 1 21/c 1'
_symmetry_Int_Tables_number 14
_cell_length_a 7.5478
_cell_length_b 18.3907
_cell_length_c 12.7985
_cell_angle_alpha 90.00
_cell_angle_beta 124.06
_cell_angle_gamma 90.00
loop_
_symmetry_equiv_pos_as_xyz
'x,y,z'
'-x,-y,-z'
'-x,y+1/2,-z+1/2'
'x,-y+1/2,z+1/2'
loop_
_atom_site_label
_atom_site_fract_x
_atom_site_fract_y
_atom_site_fract_z
_atom_site_occupancy
La1 0.0108 0.2341 0.2570 1
V1 0.5005 0.0012 0.7317 1
I1 0.0207 0.5058 0.2454 1
I2 0.1269 0.6307 0.5541 1
I3 0.3156 0.1758 0.5979 1
I4 0.3436 0.6631 0.0663 1
I5 0.4640 0.1236 0.0661 1
O1 0.0060 0.5956 0.3006 1
O2 0.0487 0.1769 0.4496 1
O3 0.1083 0.0501 0.8836 1
O4 0.1755 0.6602 0.8948 1
O5 0.2010 0.6995 0.4798 1
O6 0.2149 0.6822 0.6968 1
O7 0.2528 0.1935 0.9778 1
O8 0.2640 0.2194 0.7066 1
O9 0.2895 0.0780 0.6249 1
O10 0.3022 0.5139 0.7928 1
O11 0.3096 0.5233 0.2952 1
O12 0.3214 0.5635 0.0826 1
O13 0.3471 0.6867 0.3110 1
O14 0.3492 0.0884 0.1522 1
O15 0.3654 0.5725 0.6153 1
O16 0.3932 0.1696 0.4105 1
# **E**: -5.24 eV/atom
# **Density**: 4.9 g/cm³



[4]
# LaWI2O, optimized geometry, DFT PBE with a Hubbard U
data_LaWI2O
_chemical_formula_sum 'La1 W1 I2 O1'
_symmetry_space_group_name_H-M 'P 4/m m m'
_symmetry_Int_Tables_number 123
_symmetry_space_group_name_Hall '-P 4 2'
_cell_length_a 6.5539
_cell_length_b 6.5539
_cell_length_c 4.2908
_cell_angle_alpha 90.00
_cell_angle_beta 90.00
_cell_angle_gamma 90.00
loop_
_atom_site_label
_atom_site_fract_x
_atom_site_fract_y
_atom_site_fract_z
_atom_site_occupancy
La1 0.0000 0.0000 0.0000 1
W1 0.5000 0.5000 0.5000 1
I1 0.0000 0.5000 0.0000 1
O1 0.0000 0.0000 0.5000 1
# **Energy above the lowest structure with this stoichiometry**: 0.400 eV per atom
# **E**: -4.23 eV/atom
# **Density**: 5.3 g/cm³



[5]
# LaWI2O, optimized geometry, DFT PBE with a Hubbard U
data_LaWI2O
_chemical_formula_sum 'La1 W1 I2 O1'
_symmetry_space_group_name_H-M 'P 4/m m m'
_symmetry_Int_Tables_number 123
_symmetry_space_group_name_Hall '-P 4 2'
_cell_length_a 6.1397
_cell_length_b 6.1397
_cell_length_c 3.9216
_cell_angle_alpha 90.00
_cell_angle_beta 90.00
_cell_angle_gamma 90.00
loop_
_atom_site_label
_atom_site_fract_x
_atom_site_fract_y
_atom_site_fract_z
_atom_site_occupancy
La1 0.0000 0.0000 0.0000 1
W1 0.5000 0.5000 0.5000 1
I1 0.0000 0.5000 0.5000 1
O1 0.5000 0.5000 0.0000 1
# **Energy above the lowest structure with this stoichiometry**: 0.000 eV per atom
# **E**: -4.63 eV/atom
# **Density**: 6.7 g/cm³



Q: Look up the density of the fifth one.
A: 6.7 g/cm³



Q: Look up the E of the fourth one.
A: -4.23 eV/atom